(P)
{"formula": "MgScSe", "functional": "PBE", "state": "relaxed", "space_group": "P3m1 (156)", "volume_a3_per_atom": 23.52, "cell": [[-0.736, 1.633, -3.221], [1.649, -3.296, 0.061], [-5.361, -2.685, -0.136]], "species": ["Mg", "Se", "Sc"], "frac_coords": [[0.000, 0.000, 0.967], [0.667, 0.333, 0.653], [0.333, 0.667, 0.380]]}

(Q)
{"formula": "MgScSe", "functional": "PBE", "state": "relaxed", "space_group": "I4mm (107)", "volume_a3_per_atom": 23.47, "cell": [[-6.079, 1.914, 0.148], [-6.187, -1.530, -0.153], [-0.984, -0.258, 3.305]], "species": ["Se", "Mg", "Sc"], "frac_coords": [[0.703, 0.703, 0.297], [0.992, 0.992, 0.008], [0.305, 0.305, 0.695]]}

Which structure is the most stable? The one labeled (P).

(P)
{"formula": "MgScSe3", "functional": "PBE", "state": "relaxed", "space_group": "R-3 (148)", "volume_a3_per_atom": 24.21, "cell": [[6.423, -3.380, 0.029], [6.423, 3.380, 0.029], [4.619, 0.000, 5.598]], "species": ["Mg", "Se", "Se", "Se", "Sc", "Sc", "Mg", "Se", "Se", "Se"], "frac_coords": [[0.846, 0.846, 0.846], [0.567, 0.256, 0.927], [0.433, 0.744, 0.073], [0.744, 0.073, 0.433], [0.339, 0.339, 0.339], [0.661, 0.661, 0.661], [0.154, 0.154, 0.154], [0.927, 0.567, 0.256], [0.256, 0.927, 0.567], [0.073, 0.433, 0.744]]}

(Q)
{"formula": "MgScSe3", "functional": "PBE", "state": "relaxed", "space_group": "Pm-3m (221)", "volume_a3_per_atom": 27.21, "cell": [[-3.384, 1.339, 3.634], [-3.442, -3.253, -2.007], [1.776, -3.752, 3.036]], "species": ["Se", "Mg", "Se", "Se", "Sc"], "frac_coords": [[0.000, 0.500, 0.000], [0.500, 0.500, 0.500], [0.500, 0.000, 0.000], [0.000, 0.000, 0.500], [0.000, 0.000, 0.000]]}

Which structure is the most stable? The one labeled (P).

(P)
{"formula": "MgScSi3", "functional": "PBE", "state": "relaxed", "space_group": "Pm-3m (221)", "volume_a3_per_atom": 22.02, "cell": [[4.793, 0.000, 0.000], [0.000, 4.793, 0.000], [0.000, 0.000, 4.793]], "species": ["Sc", "Mg", "Si", "Si", "Si"], "frac_coords": [[0.500, 0.500, 0.500], [0.000, 0.000, 0.000], [0.500, 0.000, 0.000], [0.000, 0.500, 0.000], [0.000, 0.000, 0.500]]}

(Q)
{"formula": "MgScSi3", "functional": "PBE", "state": "relaxed", "space_group": "Pm-3m (221)", "volume_a3_per_atom": 24.75, "cell": [[-3.327, -1.872, -3.203], [3.618, -2.591, -2.243], [-0.823, -3.823, 3.089]], "species": ["Si", "Sc", "Si", "Si", "Mg"], "frac_coords": [[0.000, 0.500, 0.000], [0.000, 0.000, 0.000], [0.000, 0.000, 0.500], [0.500, 0.000, 0.000], [0.500, 0.500, 0.500]]}

Which structure is the most stable? The one labeled (Q).

(P)
{"formula": "MgSc3Si", "functional": "PBE", "state": "relaxed", "space_group": "Pm-3m (221)", "volume_a3_per_atom": 26.23, "cell": [[-4.017, -3.106, -0.184], [2.554, -3.120, -3.091], [1.777, -2.537, 4.028]], "species": ["Mg", "Sc", "Sc", "Sc", "Si"], "frac_coords": [[0.500, 0.500, 0.500], [0.500, 0.000, 0.000], [0.000, 0.000, 0.500], [0.000, 0.500, 0.000], [0.000, 0.000, 0.000]]}

(Q)
{"formula": "MgSc3Si", "functional": "PBE", "state": "relaxed", "space_group": "Pm-3m (221)", "volume_a3_per_atom": 26.02, "cell": [[-1.890, -3.784, 2.790], [3.756, -3.024, -1.558], [2.828, 1.487, 3.933]], "species": ["Si", "Sc", "Mg", "Sc", "Sc"], "frac_coords": [[0.500, 0.500, 0.500], [0.500, 0.000, 0.000], [0.000, 0.000, 0.000], [0.000, 0.500, 0.000], [0.000, 0.000, 0.500]]}

Which structure is the most stable? The one labeled (P).

(P)
{"formula": "Sm2MgSc", "functional": "PBE", "state": "relaxed", "space_group": "P4/mmm (123)", "volume_a3_per_atom": 28.63, "cell": [[-3.665, -0.682, -0.352], [0.902, -5.363, 1.003], [-0.686, 0.897, 5.414]], "species": ["Sm", "Sc", "Sm", "Mg"], "frac_coords": [[0.000, 0.000, 0.500], [0.500, 0.000, 0.000], [0.000, 0.500, 0.000], [0.500, 0.500, 0.500]]}

(Q)
{"formula": "Sm2MgSc", "functional": "PBE", "state": "relaxed", "space_group": "P4/mmm (123)", "volume_a3_per_atom": 28.99, "cell": [[3.636, 0.000, 0.000], [0.000, 3.636, 0.000], [0.000, 0.000, 8.771]], "species": ["Sm", "Sm", "Sc", "Mg"], "frac_coords": [[0.000, 0.000, 0.251], [0.000, 0.000, 0.749], [0.500, 0.500, 0.000], [0.500, 0.500, 0.500]]}

(R)
{"formula": "Sm2MgSc", "functional": "PBE", "state": "relaxed", "space_group": "Cm (8)", "volume_a3_per_atom": 29.14, "cell": [[-1.181, 0.860, 3.115], [-0.975, -2.455, 2.203], [9.859, -1.006, 5.894]], "species": ["Sm", "Sm", "Mg", "Sc"], "frac_coords": [[0.080, 0.080, 0.758], [0.253, 0.253, 0.242], [0.500, 0.500, 0.501], [0.667, 0.667, 0.000]]}

(S)
{"formula": "Sm2MgSc", "functional": "PBE", "state": "relaxed", "space_group": "Fm-3m (225)", "volume_a3_per_atom": 28.63, "cell": [[5.451, 0.000, 0.000], [2.725, 4.720, 0.000], [2.725, 1.573, 4.450]], "species": ["Mg", "Sc", "Sm", "Sm"], "frac_coords": [[0.000, 0.000, 0.000], [0.500, 0.500, 0.500], [0.250, 0.250, 0.250], [0.750, 0.750, 0.750]]}

Which structure is the most stable? The one labeled (Q).

(P)
{"formula": "SmMgSc", "functional": "PBE", "state": "relaxed", "space_group": "P2_1 (4)", "volume_a3_per_atom": 27.08, "cell": [[-4.588, 2.579, -0.589], [-1.451, -2.102, 2.100], [0.778, 3.479, 9.169]], "species": ["Mg", "Sc", "Sm", "Sm", "Mg", "Sc"], "frac_coords": [[0.475, 0.570, 0.243], [0.477, 0.382, 0.926], [0.978, 0.066, 0.745], [0.478, 0.219, 0.583], [0.975, 0.713, 0.086], [0.977, 0.902, 0.403]]}

(Q)
{"formula": "SmMgSc", "functional": "PBE", "state": "relaxed", "space_group": "P2_1 (4)", "volume_a3_per_atom": 27.14, "cell": [[-2.666, 0.005, -2.095], [-1.606, -2.187, 2.038], [-8.290, 10.825, 5.083]], "species": ["Sc", "Mg", "Mg", "Sm", "Sc", "Sm"], "frac_coords": [[0.794, 0.290, 0.835], [0.801, 0.793, 0.328], [0.444, 0.293, 0.185], [0.117, 0.791, 0.010], [0.452, 0.790, 0.677], [0.128, 0.291, 0.502]]}

(R)
{"formula": "SmMgSc", "functional": "PBE", "state": "relaxed", "space_group": "I4mm (107)", "volume_a3_per_atom": 27.06, "cell": [[3.500, 0.000, 0.000], [0.000, 3.500, 0.000], [-1.750, -1.750, 6.630]], "species": ["Mg", "Sc", "Sm"], "frac_coords": [[0.657, 0.657, 0.315], [0.008, 0.008, 0.016], [0.335, 0.335, 0.669]]}

(S)
{"formula": "SmMgSc", "functional": "PBE", "state": "relaxed", "space_group": "P3m1 (156)", "volume_a3_per_atom": 27.14, "cell": [[-0.880, 3.074, -0.873], [0.235, -1.391, -5.136], [-4.559, -0.539, 2.699]], "species": ["Sm", "Sc", "Mg"], "frac_coords": [[0.685, 0.667, 0.333], [0.244, 0.333, 0.667], [0.070, 0.000, 0.000]]}

Which structure is the most stable? The one labeled (R).